Material: K4NaTh3Se8
Method: DFT, PBE-GGA
State: relaxed

Results
- Raw formation energy: -35.9 kcal/mol of atoms
- E: -5.047 eV/atom
- Crystal system: trigonal

Cell: 8.6983 8.6983 22.9846 Å, 90.00 90.00 120.00°
Closest atoms and distances in Å follow each position.
Space group R-3m (No. 166, hexagonal axes)
Unique sites:
1 K 0.0000 0.0000 0.0000 x3  6 Se 3.28
2 K 0.0000 0.5000 0.0000 x9  6 Se 3.34-3.40
3 Na 0.0000 0.0000 0.5000 x3  6 Se 3.07
4 Th 0.0000 0.5000 0.5000 x9  6 Se 2.94-2.99
5 Se 0.0000 0.0000 0.2375 x6  3 Th 2.99, 3 K 3.34
6 Se 0.0140 0.5070 0.7636 x18  2 Th 2.94, 1 Na 3.07, 1 K 3.28



Material: SmEr2ScS4
Method: DFT, PBE-GGA
State: relaxed

Results
- Raw formation energy: -44.4 kcal/mol of atoms
- E: -6.513 eV/atom
- Crystal system: monoclinic

Cell: 6.6867 3.8324 6.7492 Å, 90.00 109.05 90.00°
Closest atoms and distances in Å follow each position.
Space group P2/m (No. 10)
Unique sites:
1 Sm 0.0000 0.0000 0.0000 x1  6 S 2.78
2 Er 0.5000 0.0000 0.5000 x1  6 S 2.68-2.69
3 Er 0.5000 0.5000 0.0000 x1  6 S 2.78
4 Sc 0.0000 0.5000 0.5000 x1  6 S 2.69
5 S 0.2468 0.0000 0.7382 x2  3 Er 2.69-2.78, 2 Sc 2.69, 1 Sm 2.78
6 S 0.2551 0.5000 0.2626 x2  3 Er 2.68-2.78, 1 Sc 2.69, 2 Sm 2.78



Material: LiLaSc2S4
Method: DFT, PBE-GGA
State: relaxed

Results
- Raw formation energy: -41.8 kcal/mol of atoms
- E: -6.316 eV/atom
- Crystal system: orthorhombic

Cell: 3.8180 12.6583 12.9618 Å, 90.00 90.00 90.00°
Closest atoms and distances in Å follow each position.
Space group Cmcm (No. 63)
Unique sites:
1 Li 0.0000 0.1475 0.2500 x4  4 S 2.28-2.31
2 La 0.0000 0.1217 0.7500 x4  6 S 2.89-2.95
3 Sc 0.0000 0.3729 0.5555 x8  6 S 2.59-2.71
4 S 0.0000 0.0000 0.0000 x4  4 Sc 2.60
5 S 0.0000 0.2663 0.1149 x8  1 Li 2.31
6 S 0.0000 0.4506 0.7500 x4  2 Li 2.28



Material: Y2HoAg
Method: DFT, PBE-GGA
State: relaxed

Results
- E: -4.872 eV/atom
- Crystal system: trigonal
- ΔE_f: 0.22 eV/atom
- E above lowest polymorph: 0.348 eV per atom

Cell: 3.4285 3.4285 34.7009 Å, 90.00 90.00 120.00°
Closest atoms and distances in Å follow each position.
Space group R-3m (No. 166, hexagonal axes)
Unique sites:
1 Y 0.0000 0.0000 0.0970 x6  3 Ag 3.13, 1 Ho 3.36, 6 Y 3.43
2 Ho 0.0000 0.0000 0.0000 x3  2 Y 3.36, 6 Ho 3.43
3 Ag 0.0000 0.0000 0.5000 x3  6 Y 3.13, 6 Ag 3.43



Material: LaSc2Si
Method: DFT, PBE-GGA
State: relaxed

Results
- Raw formation energy: -1.0 kcal/mol of atoms
- E: -5.796 eV/atom
- Crystal system: tetragonal

Cell: 8.3084 8.3084 6.1640 Å, 90.00 90.00 90.00°
Closest atoms and distances in Å follow each position.
Space group I-42d (No. 122)
Unique sites:
1 La 0.0000 0.0000 0.0000 x4  2 Si 3.08, 4 Sc 3.43
2 Sc 0.1856 0.7500 0.6250 x8  2 Si 2.70
3 Si 0.0000 0.0000 0.5000 x4  4 Sc 2.70



Material: Pa2MoPtN5
Method: DFT, PBE-GGA
State: relaxed

Results
- Raw formation energy: -17.0 kcal/mol of atoms
- E: -9.346 eV/atom
- Crystal system: orthorhombic

Cell: 3.2812 13.3044 10.1598 Å, 90.00 90.00 90.00°
Closest atoms and distances in Å follow each position.
Space group Cmc2_1 (No. 36)
Unique sites:
1 Pa 0.0000 0.1164 0.0000 x4  8 N 2.35-2.63
2 Pa 0.0000 0.1395 0.6114 x4  6 N 2.23-2.48
3 Mo 0.0000 0.1879 0.3134 x4  4 N 1.99-2.19
4 Pt 0.0000 0.4870 0.7821 x4  4 N 2.06-2.20
5 N 0.0000 0.0530 0.3975 x4  1 Mo 1.99, 2 Pt 2.09
6 N 0.0000 0.2894 0.9532 x4  2 Mo 2.19, 1 Pa 2.35
7 N 0.0000 0.3058 0.6397 x4  3 Pa 2.23-2.40, 2 Mo 2.41
8 N 0.0000 0.3483 0.3034 x4  1 Mo 2.14, 1 Pt 2.20
9 N 0.0000 0.4912 0.0817 x4  1 Pt 2.06



Material: Tm2CdPd3
Method: DFT, PBE-GGA
State: relaxed

Results
- E: -4.928 eV/atom
- Crystal system: orthorhombic
- ΔE_f: -0.69 eV/atom
- E above lowest polymorph: 0.135 eV per atom

Cell: 12.5072 7.5327 5.6354 Å, 90.00 90.00 90.00°
Closest atoms and distances in Å follow each position.
Space group Cmcm (No. 63)
Unique sites:
1 Tm 0.1655 0.1730 0.2500 x8  6 Pd 2.82-2.85
2 Cd 0.0000 0.3220 0.7500 x4  6 Pd 2.81-2.85
3 Pd 0.0000 0.0000 0.0000 x4  2 Cd 2.81, 2 Pd 2.82, 4 Tm 2.82
4 Pd 0.1664 0.5000 0.0000 x8  2 Pd 2.82, 4 Tm 2.84-2.85, 2 Cd 2.85



Material: KHg2Pd2
Method: DFT, PBE-GGA
State: relaxed

Results
- E: -2.568 eV/atom
- Crystal system: tetragonal
- ΔE_f: -0.15 eV/atom
- E above lowest polymorph: 0.046 eV per atom

Cell: 8.4203 8.4203 3.0431 Å, 90.00 90.00 90.00°
Closest atoms and distances in Å follow each position.
Space group P4/mbm (No. 127)
Unique sites:
1 K 0.0000 0.0000 0.0000 x2  2 K 3.04, 4 Hg 3.28
2 Hg 0.1351 0.3649 0.0000 x4  6 Pd 2.86-2.93, 2 Hg 3.04
3 Pd 0.1613 0.6613 0.5000 x4  6 Hg 2.86-2.93, 2 Pd 3.04